The following is a DFT calculation (PBE-GGA) of a relaxed structure of Li3B3H16N2.

abc: 7.5574 6.9821 7.7093
angles: 90.00 93.19 90.00
Space group P2_1 (No. 4)
One atom of each set of equivalent atoms:
Li  0.0826  0.9999  0.3140 x2
Li  0.2916  0.5000  0.2088 x2
Li  0.3072  0.7345  0.7342 x2
B  0.1173  0.6794  0.4318 x2
B  0.1470  0.5333  0.9178 x2
B  0.3791  0.1419  0.2622 x2
H  0.0008  0.6088  0.9055 x2
H  0.0314  0.1604  0.5154 x2
H  0.1002  0.7111  0.2746 x2
H  0.1430  0.3953  0.0144 x2
H  0.1897  0.8190  0.5031 x2
H  0.1926  0.0987  0.7738 x2
H  0.1932  0.4750  0.7762 x2
H  0.2074  0.5364  0.4591 x2
H  0.2526  0.6549  0.9746 x2
H  0.2651  0.2288  0.3384 x2
H  0.3183  0.9947  0.1962 x2
H  0.3245  0.0287  0.9366 x2
H  0.4345  0.2430  0.1470 x2
H  0.4414  0.1207  0.6041 x2
H  0.4508  0.2686  0.7684 x2
H  0.4994  0.0973  0.3681 x2
N  0.3075  0.0240  0.8037 x2
N  0.4574  0.1257  0.7372 x2

Uncorrected energy   -4.315 eV/atom

=====

The following is a DFT calculation (PBE-GGA) of a relaxed structure of ZrSiIr4.

abc: 7.3673 7.3673 7.3673
angles: 90.00 90.00 90.00
Space group F-43m (No. 216)
One atom of each set of equivalent atoms:
Zr  0.0000  0.0000  0.0000 x4
Si  0.2500  0.2500  0.2500 x4
Ir  0.1244  0.1244  0.6244 x16

Formation energy (no corrections)   -0.1340 eV per atom

=====

The following is a DFT calculation (PBE-GGA) of a relaxed structure of YRu3N.

abc: 4.9709 4.9709 4.9709
angles: 90.00 90.00 90.00
Space group Pm-3m (No. 221)
One atom of each set of equivalent atoms:
Y  0.0000  0.0000  0.0000 x1
Ru  0.0000  0.0000  0.5000 x3
N  0.5000  0.5000  0.5000 x1

Formation energy (no corrections)   3.1659 eV per atom
Energy above the lowest structure with this stoichiometry   3327 meV/atom

=====

The following is a DFT calculation (PBE-GGA) of a relaxed structure of NdHfIn2.

abc: 3.8096 3.8096 6.9738
angles: 90.00 90.00 90.00
Space group P4/mmm (No. 123)
One atom of each set of equivalent atoms:
Nd  0.0000  0.0000  0.0000 x1
Hf  0.0000  0.0000  0.5000 x1
In  0.5000  0.5000  0.2805 x2

Energy above the lowest structure with this stoichiometry   0 meV/atom
ΔE_f   -0.21 eV/atom

=====

The following is a DFT calculation (PBE-GGA) of a relaxed structure of BaWN3.

abc: 5.9406 8.9597 6.5886
angles: 90.00 90.00 90.00
Space group Imma (No. 74)
One atom of each set of equivalent atoms:
Ba  0.0000  0.0000  0.0000 x4
W  0.0000  0.2500  0.4336 x4
N  0.0000  0.0623  0.5712 x8
N  0.2500  0.2500  0.2500 x4

Formation energy (no corrections)   -0.4241 eV per atom

=====

The following is a DFT calculation (PBE-GGA) of a relaxed structure of MnVGaRe.

abc: 6.0158 6.0158 6.0158
angles: 90.00 90.00 90.00
Space group F-43m (No. 216)
One atom of each set of equivalent atoms:
Mn  0.0000  0.0000  0.0000 x4
V  0.2500  0.2500  0.2500 x4
Ga  0.2500  0.2500  0.7500 x4
Re  0.0000  0.0000  0.5000 x4

ΔE_f   -0.11 eV/atom

=====

The following is a DFT calculation (PBE-GGA) of a relaxed structure of La2EuO4.

abc: 10.2965 10.2965 10.2965
angles: 90.00 90.00 90.00
Space group Fd-3m (No. 227, origin choice 2)
One atom of each set of equivalent atoms:
La  0.0000  0.0000  0.0000 x16
Eu  0.1250  0.1250  0.6250 x8
O  0.0128  0.0128  0.2372 x32

Formation energy (no corrections)   -3.1914 eV per atom

=====

The following is a DFT calculation (PBE-GGA) of a relaxed structure of KNaTi2.

abc: 8.9422 8.9422 5.2735
angles: 90.00 90.00 90.00
Space group I-42d (No. 122)
One atom of each set of equivalent atoms:
K  0.0000  0.0000  0.0000 x4
Na  0.0000  0.0000  0.5000 x4
Ti  0.2457  0.7500  0.6250 x8

Energy above the lowest structure with this stoichiometry   0 meV/atom
ΔE_f   1.36 eV/atom